Bi2TeRh2 after structural relaxation. Source: Alexandria via LeMat-Bulk, functional PBE-GGA.

## Properties
Space group: P4/mbm, No. 127
Crystal system: tetragonal
Magnetic moment (μB per atom): 0.00
Formation energy from raw total energies (meV per atom): -32
Final energy (eV/cell): -51.535

a = 7.696 Å, b = 7.696 Å, c = 3.736 Å
α = 90.00°, β = 90.00°, γ = 90.00°
Atoms (fractional coordinates):
Bi 0.152 0.348 0.000
Bi 0.348 0.848 0.000
Bi 0.652 0.152 0.000
Bi 0.848 0.652 0.000
Te 0.000 0.000 0.500
Te 0.500 0.500 0.500
Rh 0.136 0.636 0.500
Rh 0.364 0.136 0.500
Rh 0.636 0.864 0.500
Rh 0.864 0.364 0.500